Al4SiC4: optimized geometry, GGA-PBE.

Output
- M_tot: 0.0 μB/cell
- D(E_F): 1.25 states/eV/f.u.
- Formation energy (no corrections): 105 meV/atom

a b c (Å): 3.3274 3.3274 21.9046
angles (deg): 90.00 90.00 120.00
Last column: nearest neighbours and their distance in Å.
Sites, in units of the cell vectors:
Al1 0.0000 0.0000 0.0000  4 C 2.02-2.03
Al2 0.0000 0.0000 0.1884  4 C 1.98-2.10
Al3 0.0000 0.0000 0.5000  4 C 2.02-2.03
Al4 0.0000 0.0000 0.6884  4 C 1.98-2.10
Al5 0.3333 0.6667 0.1001  3 C 1.93
Al6 0.3333 0.6667 0.2950  1 C 1.88
Al7 0.6667 0.3333 0.6001  3 C 1.93
Al8 0.6667 0.3333 0.7950  1 C 1.88
Si1 0.3333 0.6667 0.8921  1 C 1.75
Si2 0.6667 0.3333 0.3921  1 C 1.75
C1 0.0000 0.0000 0.0927  5 Al 1.93-2.10
C2 0.0000 0.0000 0.3489  3 Si 2.14, 3 Al 2.26
C3 0.0000 0.0000 0.5927  5 Al 1.93-2.10
C4 0.0000 0.0000 0.8489  3 Si 2.14, 3 Al 2.26
C5 0.3333 0.6667 0.2093  4 Al 1.88-1.98
C6 0.3333 0.6667 0.9722  1 Si 1.75
C7 0.6667 0.3333 0.4722  1 Si 1.75
C8 0.6667 0.3333 0.7093  4 Al 1.88-1.98

Al2SiC: optimized geometry, GGA-PBE.

Output
- M_tot: 0.0 μB/cell
- D(E_F): 0.36 states/eV/f.u.
- Formation energy (no corrections): 356 meV/atom

a b c (Å): 5.4237 5.4237 9.0508
angles (deg): 90.00 90.00 90.00
Last column: nearest neighbours and their distance in Å.
Sites, in units of the cell vectors:
Al1 0.1561 0.2500 0.1250  2 C 1.96
Al2 0.2500 0.6561 0.3750  2 C 1.96
Al3 0.2500 0.8439 0.8750  2 C 1.96
Al4 0.3439 0.2500 0.6250  2 C 1.96
Al5 0.6561 0.7500 0.6250  2 C 1.96
Al6 0.7500 0.1561 0.8750  2 C 1.96
Al7 0.7500 0.3439 0.3750  2 C 1.96
Al8 0.8439 0.7500 0.1250  2 C 1.96
Si1 0.0000 0.0000 0.5000  4 Al 2.57
Si2 0.0000 0.5000 0.7500  4 Al 2.57
Si3 0.5000 0.0000 0.2500  4 Al 2.57
Si4 0.5000 0.5000 0.0000  4 Al 2.57
C1 0.0000 0.0000 0.0000  4 Al 1.96
C2 0.0000 0.5000 0.2500  4 Al 1.96
C3 0.5000 0.0000 0.7500  4 Al 1.96
C4 0.5000 0.5000 0.5000  4 Al 1.96

AlSiC: optimized geometry, GGA-PBE.

Output
- M_tot: 0.0 μB/cell
- D(E_F): 0.83 states/eV/f.u.
- Formation energy (no corrections): 156 meV/atom

a b c (Å): 5.3088 3.0902 5.4709
angles (deg): 90.00 109.68 90.00
Last column: nearest neighbours and their distance in Å.
Sites, in units of the cell vectors:
Al1 0.0000 0.0000 0.0000  1 C 2.05
Al2 0.5000 0.5000 0.0000  1 C 2.05
Si1 0.1629 0.0000 0.5000  3 C 1.85-1.86
Si2 0.6629 0.5000 0.5000  3 C 1.85-1.86
C1 0.3643 0.5000 0.6029  3 Si 1.85-1.86, 1 Al 2.05
C2 0.8643 0.0000 0.6029  3 Si 1.85-1.86, 1 Al 2.05

AlSiC: optimized geometry, GGA-PBE.

Output
- M_tot: 0.0 μB/cell
- D(E_F): 0.94 states/eV/f.u.
- Formation energy (no corrections): 174 meV/atom

a b c (Å): 3.0876 5.6661 4.8402
angles (deg): 90.00 90.00 90.00
Last column: nearest neighbours and their distance in Å.
Sites, in units of the cell vectors:
Al1 0.0000 0.0491 0.0000  1 C 2.04
Al2 0.5000 0.9509 0.5000  1 C 2.04
Si1 0.0000 0.6113 0.8273  3 C 1.85-1.86
Si2 0.5000 0.3887 0.3273  3 C 1.85-1.86
C1 0.0000 0.3961 0.1145  3 Si 1.85-1.86, 1 Al 2.04
C2 0.5000 0.6039 0.6145  3 Si 1.85-1.86, 1 Al 2.04

Al2SiC: optimized geometry, GGA-PBE.

Output
- M_tot: 0.0 μB/cell
- D(E_F): 2.71 states/eV/f.u.
- Formation energy (no corrections): 1084 meV/atom

a b c (Å): 5.9878 5.9878 5.9878
angles (deg): 90.00 90.00 90.00
Last column: nearest neighbours and their distance in Å.
Sites, in units of the cell vectors:
Al1 0.2500 0.2500 0.2500  4 C 2.59, 4 Si 2.59
Al2 0.2500 0.2500 0.7500  4 C 2.59, 4 Si 2.59
Al3 0.2500 0.7500 0.2500  4 C 2.59, 4 Si 2.59
Al4 0.2500 0.7500 0.7500  4 C 2.59, 4 Si 2.59
Al5 0.7500 0.2500 0.2500  4 C 2.59, 4 Si 2.59
Al6 0.7500 0.2500 0.7500  4 C 2.59, 4 Si 2.59
Al7 0.7500 0.7500 0.2500  4 C 2.59, 4 Si 2.59
Al8 0.7500 0.7500 0.7500  4 Si 2.59, 4 C 2.59
Si1 0.0000 0.0000 0.0000  8 Al 2.59
Si2 0.0000 0.5000 0.5000  8 Al 2.59
Si3 0.5000 0.0000 0.5000  8 Al 2.59
Si4 0.5000 0.5000 0.0000  8 Al 2.59
C1 0.0000 0.0000 0.5000  8 Al 2.59
C2 0.0000 0.5000 0.0000  8 Al 2.59
C3 0.5000 0.0000 0.0000  8 Al 2.59
C4 0.5000 0.5000 0.5000  8 Al 2.59

AlSiC: optimized geometry, GGA-PBE.

Output
- M_tot: 0.0 μB/cell
- D(E_F): 0.77 states/eV/f.u.
- Formation energy (no corrections): 195 meV/atom

a b c (Å): 3.0740 5.1756 5.3017
angles (deg): 90.00 101.60 90.00
Last column: nearest neighbours and their distance in Å.
Sites, in units of the cell vectors:
Al1 0.2099 0.0000 0.0542  1 C 2.05
Al2 0.7901 0.5000 0.9458  1 C 2.05
Si1 0.2024 0.5783 0.4207  3 C 1.85-1.86
Si2 0.7976 0.0783 0.5793  3 C 1.85-1.86
C1 0.2502 0.9365 0.4391  3 Si 1.85-1.86, 1 Al 2.05
C2 0.7498 0.4365 0.5609  3 Si 1.85-1.86, 1 Al 2.05

Al4SiC4: optimized geometry, GGA-PBE.

Output
- M_tot: 0.0 μB/cell
- Formation energy (no corrections): -72 meV/atom

a b c (Å): 3.2924 3.2924 21.8395
angles (deg): 90.00 90.00 120.00
Last column: nearest neighbours and their distance in Å.
Sites, in units of the cell vectors:
Al1 0.0000 0.0000 0.0000  3 C 1.93
Al2 0.0000 0.0000 0.5000  3 C 1.93
Al3 0.3333 0.6667 0.1042  1 C 1.92
Al4 0.3333 0.6667 0.6963  4 C 1.97-2.14
Al5 0.3333 0.6667 0.9147  3 C 1.93
Al6 0.6667 0.3333 0.1963  4 C 1.97-2.14
Al7 0.6667 0.3333 0.4147  3 C 1.93
Al8 0.6667 0.3333 0.6042  1 C 1.92
Si1 0.0000 0.0000 0.3137  4 C 1.87-1.99
Si2 0.0000 0.0000 0.8137  4 C 1.87-1.99
C1 0.0000 0.0000 0.1509  6 Al 2.14-2.16
C2 0.0000 0.0000 0.3995  1 Si 1.87, 3 Al 1.93
C3 0.0000 0.0000 0.6509  6 Al 2.14-2.16
C4 0.0000 0.0000 0.8995  1 Si 1.87, 3 Al 1.93
C5 0.3333 0.6667 0.0162  4 Al 1.92-1.93
C6 0.3333 0.6667 0.7865  1 Al 1.97, 3 Si 1.99
C7 0.6667 0.3333 0.2865  1 Al 1.97, 3 Si 1.99
C8 0.6667 0.3333 0.5162  4 Al 1.92-1.93

AlSiC2: optimized geometry, GGA-PBE.

Output
- M_tot: 0.0 μB/cell
- D(E_F): 2.56 states/eV/f.u.
- Formation energy (no corrections): 201 meV/atom

a b c (Å): 4.5482 4.5482 8.8711
angles (deg): 90.00 90.00 90.00
Last column: nearest neighbours and their distance in Å.
Sites, in units of the cell vectors:
Al1 0.0000 0.0000 0.0000  4 C 2.02
Al2 0.0000 0.5000 0.2500  4 C 2.02
Al3 0.5000 0.0000 0.7500  4 C 2.02
Al4 0.5000 0.5000 0.5000  4 C 2.02
Si1 0.0000 0.0000 0.5000  4 C 1.89
Si2 0.0000 0.5000 0.7500  4 C 1.89
Si3 0.5000 0.0000 0.2500  4 C 1.89
Si4 0.5000 0.5000 0.0000  4 C 1.89
C1 0.2252 0.2500 0.6250  2 Si 1.89, 2 Al 2.02
C2 0.2500 0.7252 0.8750  2 Si 1.89, 2 Al 2.02
C3 0.2500 0.7748 0.3750  2 Si 1.89, 2 Al 2.02
C4 0.2748 0.2500 0.1250  2 Si 1.89, 2 Al 2.02
C5 0.7252 0.7500 0.1250  2 Si 1.89, 2 Al 2.02
C6 0.7500 0.2252 0.3750  2 Si 1.89, 2 Al 2.02
C7 0.7500 0.2748 0.8750  2 Si 1.89, 2 Al 2.02
C8 0.7748 0.7500 0.6250  2 Si 1.89, 2 Al 2.02

Y2AlSiC: optimized geometry, GGA-PBE.

Output
- M_tot: 0.0 μB/cell
- D(E_F): 1.72 states/eV/f.u.
- Formation energy (no corrections): -510 meV/atom

a b c (Å): 6.6470 3.8354 8.0608
angles (deg): 90.00 107.18 90.00
Last column: nearest neighbours and their distance in Å.
Sites, in units of the cell vectors:
Y1 0.1796 0.2500 0.3836  2 C 2.56
Y2 0.2020 0.2500 0.9635  3 C 2.38-2.60
Y3 0.7980 0.7500 0.0365  3 C 2.38-2.60
Y4 0.8204 0.7500 0.6164  2 C 2.56
Al1 0.4723 0.7500 0.2550  1 C 1.94
Al2 0.5277 0.2500 0.7450  1 C 1.94
Si1 0.2907 0.7500 0.6940  2 Al 2.44
Si2 0.7093 0.2500 0.3060  2 Al 2.44
C1 0.1678 0.7500 0.1709  1 Al 1.94
C2 0.8322 0.2500 0.8291  1 Al 1.94

Y2AlSiC: optimized geometry, GGA-PBE.

Output
- M_tot: 0.0 μB/cell
- D(E_F): 2.39 states/eV/f.u.
- Formation energy (no corrections): -399 meV/atom

a b c (Å): 4.9253 4.9253 3.9268
angles (deg): 90.00 90.00 90.00
Last column: nearest neighbours and their distance in Å.
Sites, in units of the cell vectors:
Y1 0.0000 0.5000 0.0000  2 C 2.46
Y2 0.5000 0.0000 0.0000  2 C 2.46
Al1 0.0000 0.0000 0.5000  2 C 1.96
Si1 0.5000 0.5000 0.5000  8 Y 3.15, 4 Al 3.48
C1 0.0000 0.0000 0.0000  2 Al 1.96

Y2Al2Si2C: optimized geometry, GGA-PBE.

Output
- M_tot: 0.0 μB/cell
- D(E_F): 1.18 states/eV/f.u.
- Formation energy (no corrections): -445 meV/atom

a b c (Å): 4.1147 4.1147 14.7518
angles (deg): 90.00 90.00 90.00
Last column: nearest neighbours and their distance in Å.
Sites, in units of the cell vectors:
Y1 0.0000 0.0000 0.1623  1 C 2.39
Y2 0.0000 0.0000 0.8377  1 C 2.39
Y3 0.5000 0.5000 0.3377  1 C 2.39
Y4 0.5000 0.5000 0.6623  1 C 2.39
Al1 0.0000 0.5000 0.0000  2 C 2.06
Al2 0.0000 0.5000 0.5000  2 C 2.06
Al3 0.5000 0.0000 0.0000  2 C 2.06
Al4 0.5000 0.0000 0.5000  2 C 2.06
Si1 0.0000 0.0000 0.3706  4 Al 2.81, 5 Y 2.95-3.07
Si2 0.0000 0.0000 0.6294  4 Al 2.81, 5 Y 2.95-3.07
Si3 0.5000 0.5000 0.1294  4 Al 2.81, 5 Y 2.95-3.07
Si4 0.5000 0.5000 0.8706  4 Al 2.81, 5 Y 2.95-3.07
C1 0.0000 0.0000 0.0000  4 Al 2.06
C2 0.5000 0.5000 0.5000  4 Al 2.06

Sm6Al2C: optimized geometry, GGA-PBE.

Output
- M_tot: 0.5 μB/cell
- D(E_F): 9.29 states/eV/f.u.
- DFT formation energy: -21.4 kJ/mol of atoms

a b c (Å): 7.0058 7.0058 7.0085
angles (deg): 120.02 120.02 60.02
Last column: nearest neighbours and their distance in Å.
Sites, in units of the cell vectors:
Sm1 0.2463 0.2463 0.2459  1 C 2.44
Sm2 0.2464 0.7541 0.2464  1 C 2.44
Sm3 0.2459 0.7536 0.7536  1 C 2.44
Sm4 0.7541 0.2464 0.2464  1 C 2.44
Sm5 0.7536 0.2459 0.7536  1 C 2.44
Sm6 0.7537 0.7537 0.7541  1 C 2.44
Al1 0.2500 0.2500 0.7500  12 Sm 3.50-3.51
Al2 0.7500 0.7500 0.2500  12 Sm 3.50-3.51
C1 0.0000 0.0000 0.0000  6 Sm 2.44

SmAlC: optimized geometry, GGA-PBE.

Output
- M_tot: 0.0 μB/cell
- D(E_F): 0.67 states/eV/f.u.
- DFT formation energy: -14.7 kJ/mol of atoms

a b c (Å): 3.5475 3.5475 4.3944
angles (deg): 90.00 90.00 120.00
Last column: nearest neighbours and their distance in Å.
Sites, in units of the cell vectors:
Sm1 0.0000 0.0000 0.0000  6 C 3.00-3.01, 6 Al 3.00
Al1 0.6667 0.3333 0.5001  3 C 2.05
C1 0.3333 0.6667 0.4985  3 Al 2.05